No. 1
Compound: Cd2TcPt
Source: the Alexandria database
Functional: PBE
Structure: optimized geometry

Properties
* space group: P4/mmm, No. 123
* E above lowest polymorph: 1.03 eV per formula unit
* energy of formation from the pure elements: 0.2894 eV per atom
* Fermi-level density of states: 3.8 states/eV/f.u.
* magnetic moment: 0.36 μB per cell

```
4
Lattice="4.8670 0.0000 0.0000 0.0000 4.8670 0.0000 0.0000 0.0000 2.9531" Properties=species:S:1:pos:R:3 pbc="T T T"
Cd 0.0000 2.4335 0.0000
Cd 2.4335 0.0000 0.0000
Tc 0.0000 0.0000 1.4765
Pt 2.4335 2.4335 1.4765
```


No. 2
Compound: CdTcPt2
Source: the Alexandria database
Functional: PBE
Structure: optimized geometry

Properties
* space group: I-42d, No. 122
* energy of formation from the pure elements: 0.7690 eV per atom
* Fermi-level density of states: 4.4 states/eV/f.u.
* magnetic moment: 0.00 μB per cell

```
8
Lattice="-2.9355 2.9355 5.8788 2.9355 -2.9355 5.8788 2.9355 2.9355 -5.8788" Properties=species:S:1:pos:R:3 pbc="T T T"
Cd 0.0000 0.0000 0.0000
Cd 0.0000 2.9355 2.9394
Tc 2.9355 0.0000 2.9394
Tc 0.0000 0.0000 5.8788
Pt 1.4677 -1.2143 4.4091
Pt 1.7212 1.4677 1.4697
Pt 1.4677 4.1497 -1.4697
Pt 1.2143 1.4677 7.3485
```


No. 3
Compound: Cd2TcPt
Source: the Alexandria database
Functional: PBE
Structure: optimized geometry

Properties
* space group: P4/mmm, No. 123
* E above lowest polymorph: 0.78 eV per formula unit
* energy of formation from the pure elements: 0.2267 eV per atom
* Fermi-level density of states: 3.3 states/eV/f.u.
* magnetic moment: 2.01 μB per cell

```
4
Lattice="4.1192 0.0000 0.0000 0.0000 4.1192 0.0000 0.0000 0.0000 4.1793" Properties=species:S:1:pos:R:3 pbc="T T T"
Cd 0.0000 2.0596 0.0000
Cd 2.0596 0.0000 0.0000
Tc 0.0000 0.0000 2.0896
Pt 2.0596 2.0596 2.0896
```


No. 4
Compound: Cd2TcPt
Source: the Alexandria database
Functional: PBE
Structure: optimized geometry

Properties
* space group: Imm2, No. 44
* E above lowest polymorph: 0.62 eV per formula unit
* energy of formation from the pure elements: 0.1869 eV per atom
* Fermi-level density of states: 2.7 states/eV/f.u.
* magnetic moment: 0.55 μB per cell

```
4
Lattice="-1.4097 2.4703 5.2608 1.4097 -2.4703 5.2608 1.4097 2.4703 -5.2608" Properties=species:S:1:pos:R:3 pbc="T T T"
Cd 0.0000 0.0000 0.0000
Cd 0.0000 2.4703 2.2122
Tc 0.0000 0.0000 4.8492
Pt 1.4097 0.0000 2.6345
```